# 1
A relaxed BeCrAu2 crystal, computed with GGA-PBE.

Computed properties:
Fermi-level density of states: 0.75 states/eV per atom
crystal system: tetragonal
DFT formation energy: 0.143 eV/atom

Cell: 2.7800 2.7800 7.2519 Å, 90.00 90.00 90.00°
Last column: nearest neighbours and their distance in Å.
Fractional coordinates of all 4 atoms:
Au 0.0000 0.0000 0.9738  4 Cr 2.74, 4 Au 2.78
Au 0.5000 0.5000 0.3038  4 Be 2.48
Cr 0.5000 0.5000 0.7103  4 Be 2.43
Be 0.0000 0.0000 0.5121  4 Cr 2.43, 4 Au 2.48

=====

# 2
A relaxed Be2CrAu crystal, computed with GGA-PBE.

Computed properties:
Fermi-level density of states: 0.57 states/eV per atom
crystal system: tetragonal
DFT formation energy: 0.038 eV/atom

Cell: 3.9010 3.9012 3.0935 Å, 90.00 90.00 90.00°
Last column: nearest neighbours and their distance in Å.
Fractional coordinates of all 4 atoms:
Cr 0.5000 0.0000 0.5000  8 Be 2.49, 4 Au 2.76
Au 0.0000 0.5000 0.5000  8 Be 2.49, 4 Cr 2.76
Be 0.0000 0.0000 0.0000  4 Cr 2.49, 4 Au 2.49, 4 Be 2.76
Be 0.5000 0.5000 0.0000  4 Au 2.49, 4 Cr 2.49, 4 Be 2.76

=====

# 3
A relaxed BeCrAu2 crystal, computed with GGA-PBE.

Computed properties:
Fermi-level density of states: 0.54 states/eV per atom
crystal system: cubic
DFT formation energy: 0.235 eV/atom

Cell: 4.4347 4.4347 4.4347 Å, 60.00 60.00 60.00°
Last column: nearest neighbours and their distance in Å.
Fractional coordinates of all 4 atoms:
Au 0.0000 0.0000 0.0000  4 Cr 2.72, 4 Au 2.72
Au 0.2500 0.2500 0.2500  4 Be 2.72, 4 Au 2.72
Cr 0.7500 0.7500 0.7500  4 Be 2.72, 4 Au 2.72
Be 0.5000 0.5000 0.5000  4 Au 2.72, 4 Cr 2.72

=====

# 4
A relaxed Be2CrAu crystal, computed with GGA-PBE.

Computed properties:
Fermi-level density of states: 0.91 states/eV per atom
crystal system: trigonal
DFT formation energy: 0.321 eV/atom

Cell: 8.0014 8.0014 8.0014 Å, 19.36 19.36 19.36°
Last column: nearest neighbours and their distance in Å.
Fractional coordinates of all 4 atoms:
Au 0.7500 0.7500 0.7500  6 Be 2.59, 6 Au 2.69
Be 0.5046 0.5046 0.5046  3 Cr 2.42, 3 Au 2.59, 6 Be 2.69
Be 0.9954 0.9954 0.9954  3 Cr 2.42, 3 Au 2.59, 6 Be 2.69
Cr 0.2500 0.2500 0.2500  6 Be 2.42, 6 Cr 2.69

=====

# 5
A relaxed BeCrAu crystal, computed with GGA-PBE.

Computed properties:
Fermi-level density of states: 0.69 states/eV per atom
crystal system: tetragonal
DFT formation energy: 0.200 eV/atom

Cell: 5.5292 5.5294 2.7178 Å, 75.77 75.78 28.45°
Last column: nearest neighbours and their distance in Å.
Fractional coordinates of all 3 atoms:
Be 0.3269 0.3269 0.6731  4 Cr 2.41, 4 Au 2.53
Au 0.9858 0.9858 0.0142  4 Be 2.53, 4 Au 2.72
Cr 0.6873 0.6873 0.3127  4 Be 2.41

=====

# 6
A relaxed Be2CrAu crystal, computed with GGA-PBE.

Computed properties:
Fermi-level density of states: 0.32 states/eV per atom
crystal system: orthorhombic
DFT formation energy: 0.034 eV/atom

Cell: 3.6586 2.9820 4.5659 Å, 71.01 90.00 90.00°
Last column: nearest neighbours and their distance in Å.
Fractional coordinates of all 4 atoms:
Be 0.0000 0.1929 0.9887  2 Be 2.20, 2 Cr 2.37
Be 0.5000 0.0519 0.2718  2 Be 2.20, 3 Au 2.38-2.44, 4 Cr 2.44
Au 0.5000 0.7749 0.8237  7 Be 2.38-2.47
Cr 0.0000 0.4803 0.4157  7 Be 2.37-2.47